# Pa8SiOs2, optimized geometry, DFT GGA-PBE
data_Pa8SiOs2
_chemical_formula_sum 'Pa16 Si2 Os4'
_cell_length_a 17.0371
_cell_length_b 5.0740
_cell_length_c 6.0846
_cell_angle_alpha 90.00
_cell_angle_beta 108.62
_cell_angle_gamma 90.00
_space_group_name_H-M_alt 'C 1 2/m 1'
_space_group_IT_number 12
loop_
_space_group_symop_operation_xyz
'x,y,z'
'-x,-y,-z'
'-x,y,-z'
'x,-y,z'
'x+1/2,y+1/2,z'
'-x+1/2,-y+1/2,-z'
'-x+1/2,y+1/2,-z'
'x+1/2,-y+1/2,z'
loop_
_atom_site_label
_atom_site_type_symbol
_atom_site_fract_x
_atom_site_fract_y
_atom_site_fract_z
_atom_site_occupancy
Pa1 Pa 0.0011 0.0000 0.2387 1
Pa2 Pa 0.0987 0.5000 0.5116 1
Pa3 Pa 0.1726 0.5000 0.0506 1
Pa4 Pa 0.2075 0.0000 0.3236 1
Si1 Si 0.0000 0.5000 0.0000 1
Os1 Os 0.1588 0.0000 0.7490 1
# Fermi-level density of states   48.45 states/eV per cell
# Formation energy from raw total energies   -144 meV/atom

# GaSn3P, optimized geometry, DFT GGA-PBE
data_GaSn3P
_chemical_formula_sum 'Ga1 Sn3 P1'
_cell_length_a 5.2752
_cell_length_b 5.2752
_cell_length_c 5.2752
_cell_angle_alpha 90.00
_cell_angle_beta 90.00
_cell_angle_gamma 90.00
_space_group_name_H-M_alt 'P m -3 m'
_space_group_IT_number 221
_space_group_name_Hall '-P 4 2 3'
loop_
_atom_site_label
_atom_site_type_symbol
_atom_site_fract_x
_atom_site_fract_y
_atom_site_fract_z
_atom_site_occupancy
Ga1 Ga 0.0000 0.0000 0.0000 1
Sn1 Sn 0.0000 0.5000 0.5000 1
P1 P 0.5000 0.5000 0.5000 1
# Calculated formation energy   0.46 eV per atom
# Fermi-level density of states   3.01 states/eV per cell
# Distance to the lowest polymorph of the same formula   0.000 eV/atom

# Hg2PbCl6, optimized geometry, DFT GGA-PBE
data_Hg2PbCl6
_chemical_formula_sum 'Hg2 Pb1 Cl6'
_cell_length_a 4.2495
_cell_length_b 7.1174
_cell_length_c 10.0521
_cell_angle_alpha 78.05
_cell_angle_beta 88.56
_cell_angle_gamma 82.67
_space_group_name_H-M_alt 'P -1'
_space_group_IT_number 2
loop_
_space_group_symop_operation_xyz
'x,y,z'
'-x,-y,-z'
loop_
_atom_site_label
_atom_site_type_symbol
_atom_site_fract_x
_atom_site_fract_y
_atom_site_fract_z
_atom_site_occupancy
Hg1 Hg 0.1327 0.0867 0.1765 1
Pb1 Pb 0.5000 0.5000 0.5000 1
Cl1 Cl 0.0329 0.3939 0.3360 1
Cl2 Cl 0.2639 0.7645 0.9850 1
Cl3 Cl 0.4795 0.0968 0.6652 1
# Fermi-level density of states   0.00 states/eV per cell
# Distance to the lowest polymorph of the same formula   0.002 eV/atom
# Formation energy from raw total energies   -766 meV/atom

> Fermi-level density of states of number 1 (Pa8SiOs2)?

48.45 states/eV per cell